Entry 1:
The following is a DFT calculation (GGA-PBE) of a geometry-optimized PRuNO2 structure.

```
PRuNO2
1.0
3.884 0.000 0.000
0.000 3.884 0.000
0.000 0.000 3.862
P Ru N O
1 1 1 2
Direct
0.000 0.000 0.000
0.500 0.500 0.500
0.500 0.500 0.000
0.000 0.500 0.500
0.500 0.000 0.500
```

Calculated values
Space group: P4/mmm

Entry 2:
The following is a DFT calculation (GGA-PBE) of a geometry-optimized SbP2NO structure.

```
SbP2NO
1.0
5.050 0.000 0.000
0.000 5.050 0.000
0.000 0.000 3.846
Sb P N O
1 2 1 1
Direct
0.000 0.000 0.000
0.000 0.500 0.000
0.500 0.000 0.000
0.500 0.500 0.500
0.000 0.000 0.500
```

Calculated values
Energy above the most stable polymorph in this dataset, meV/atom: 810
Space group: P4/mmm

Entry 3:
The following is a DFT calculation (GGA-PBE) of a geometry-optimized SbP2NO structure.

```
SbP2NO
1.0
4.087 0.000 0.000
0.000 4.087 0.000
0.000 0.000 3.964
Sb P N O
1 2 1 1
Direct
0.000 0.000 0.000
0.000 0.500 0.500
0.500 0.000 0.500
0.500 0.500 0.500
0.500 0.500 0.000
```

Calculated values
Energy above the most stable polymorph in this dataset, meV/atom: 0
Space group: P4/mmm

no.,uncorrected formation energy (eV/atom),VASP energy (eV per atom),N(E_F) (states/eV/cell)
1,0.54,-6.050,3.0
2,1.67,-3.973,3.6
3,0.86,-4.783,2.6